DFT (PBE) results for a geometry-optimized Ce2PrScSb4 structure.

Geometry as POSCAR:
```
Ce2PrScSb4
1.0
-3.316 0.764 2.851
-5.100 -1.062 -5.647
1.429 -6.707 3.460
Sb Sc Ce Pr
4 1 2 1
direct
0.000 0.761 0.247
0.500 0.234 0.238
0.000 0.239 0.753
0.500 0.766 0.762
0.000 0.000 0.000
0.000 0.500 0.500
0.500 0.000 0.500
0.500 0.500 0.000
```

Results
* SG: No. 10



DFT (PBE) results for a geometry-optimized Sc2Tl3VSe6 structure.

Geometry as POSCAR:
```
Sc2Tl3VSe6
1.0
-2.662 6.210 -0.378
-4.032 -5.346 0.976
3.012 0.512 7.415
Se V Sc Tl
6 1 2 3
direct
0.936 0.615 0.809
0.615 0.936 0.809
0.743 0.743 0.195
0.385 0.064 0.191
0.257 0.257 0.805
0.064 0.385 0.191
0.000 0.000 0.000
0.666 0.334 0.000
0.334 0.666 0.000
0.829 0.171 0.500
0.500 0.500 0.500
0.171 0.829 0.500
```

Results
* SG: No. 12



DFT (PBE) results for a geometry-optimized Pm3CI structure.

Geometry as POSCAR:
```
Pm3CI
1.0
6.615 0.091 0.071
0.997 9.482 0.065
0.997 2.328 9.192
Pm C I
12 4 4
direct
0.646 0.761 0.915
0.854 0.085 0.239
0.128 0.588 0.090
0.872 0.412 0.910
0.628 0.090 0.588
0.137 0.280 0.414
0.637 0.414 0.280
0.372 0.910 0.412
0.863 0.720 0.586
0.363 0.586 0.720
0.146 0.915 0.761
0.354 0.239 0.085
0.005 0.663 0.834
0.505 0.834 0.663
0.995 0.337 0.166
0.495 0.166 0.337
0.750 0.741 0.259
0.750 0.088 0.912
0.250 0.259 0.741
0.250 0.912 0.088
```

Results
* SG: No. 15



DFT (PBE) results for a geometry-optimized Pu2Cd2Au3 structure.

Geometry as POSCAR:
```
Pu2Cd2Au3
1.0
3.501 0.000 0.000
0.000 10.058 -0.473
-1.750 -2.641 4.482
Cd Pu Au
2 2 3
direct
0.922 0.597 0.844
0.078 0.403 0.156
0.679 0.916 0.357
0.321 0.084 0.643
0.287 0.733 0.573
0.713 0.267 0.427
0.000 0.000 0.000
```

Results
* ΔE_f: 27.4 meV per atom
* SG: No. 12



DFT (PBE) results for a geometry-optimized LiSbTe2H structure.

Geometry as POSCAR:
```
LiSbTe2H
1.0
5.131 0.000 0.000
0.000 5.131 0.000
0.000 0.000 4.990
Te H Li Sb
2 1 1 1
direct
0.000 0.500 0.000
0.500 0.000 0.000
0.500 0.500 0.500
0.000 0.000 0.000
0.000 0.000 0.500
```

Results
* SG: No. 123



DFT (PBE) results for a geometry-optimized Bi3PW structure.

Geometry as POSCAR:
```
Bi3PW
1.0
5.301 0.000 0.000
0.000 5.301 0.000
0.000 0.000 5.301
W Bi P
1 3 1
direct
0.500 0.500 0.500
0.000 0.500 0.000
0.500 0.000 0.000
0.000 0.000 0.500
0.000 0.000 0.000
```

Results
* ΔE_f: 1455.5 meV per atom
* SG: No. 221



DFT (PBE) results for a geometry-optimized Ti2NbGe structure.

Geometry as POSCAR:
```
Ti2NbGe
1.0
7.423 0.000 0.000
0.000 7.423 0.000
3.711 3.711 2.614
Ge Ti Nb
2 4 2
direct
0.250 0.750 0.500
0.500 0.500 0.000
0.875 0.848 0.750
0.375 0.402 0.750
0.152 0.625 0.250
0.598 0.125 0.250
0.000 0.000 0.000
0.750 0.250 0.500
```

Results
* ΔE_f: 159.1 meV per atom
* SG: No. 122



DFT (PBE) results for a geometry-optimized Tc3HgB structure.

Geometry as POSCAR:
```
Tc3HgB
1.0
4.178 0.000 0.000
0.000 4.178 0.000
0.000 0.000 4.178
Tc B Hg
3 1 1
direct
0.000 0.000 0.500
0.500 0.000 0.000
0.000 0.500 0.000
0.000 0.000 0.000
0.500 0.500 0.500
```

Results
* ΔE_f: 379.9 meV per atom
* SG: No. 221



Number 1: DFT total energy -5.960 eV/atom. Number 2: DFT total energy -5.150 eV/atom. Number 3: DFT total energy -5.457 eV/atom. Number 4: DFT total energy -5.733 eV/atom. Number 5: DFT total energy -2.482 eV/atom. Number 6: DFT total energy -4.546 eV/atom. Number 7: DFT total energy -7.460 eV/atom. Number 8: DFT total energy -7.236 eV/atom.